No. 1
The following is a PBE calculation of a relaxed structure of Cu2Ag3, from the Alexandria database.

Values from the calculation:
Total magnetization = 0.0 μB per formula unit
Energy relative to the elements = 15.6 kJ/mol of atoms
N(E_F) = 7.0 states/eV per cell

a b c (Å): 7.6520 7.6520 9.5220
angles (deg): 90.00 90.00 120.00
Space group R-3c (No. 167, hexagonal axes)
Symmetry-distinct sites (fractional):
Cu: 0.0000 0.0000 0.1244
Ag: 0.0000 0.3217 0.2500

=====

No. 2
The following is a PBE calculation of a relaxed structure of Pa2PRh, from the Alexandria database.

Values from the calculation:
Total magnetization = 0.0 μB per formula unit
Energy relative to the elements = -86.0 kJ/mol of atoms
N(E_F) = 10.3 states/eV per cell

a b c (Å): 5.835 3.853 7.928
angles (deg): 90.00 110.64 90.00
Space group P2_1/m (No. 11)
Symmetry-distinct sites (fractional):
Pa: 0.207 0.250 0.413
Pa: 0.218 0.250 0.939
P: 0.316 0.750 0.700
Rh: 0.363 0.750 0.218

=====

No. 3
The following is a PBE calculation of a relaxed structure of AcPrTlI, from the Alexandria database.

Values from the calculation:
Total magnetization = 0.0 μB per formula unit
Energy relative to the elements, uncorrected = -539.0 meV/atom
N(E_F) = 11.5 states/eV per cell

a b c (Å): 8.133 8.133 8.133
angles (deg): 90.00 90.00 90.00
Space group F-43m (No. 216)
Symmetry-distinct sites (fractional):
Ac: 0.000 0.000 0.000
Pr: 0.000 0.000 0.500
Tl: 0.250 0.250 0.250
I: 0.250 0.250 0.750

=====

No. 4
The following is a PBE calculation of a relaxed structure of BaMgCu3, from the Alexandria database.

Values from the calculation:
Total magnetization = 0.0 μB per formula unit
Energy relative to the elements = 120.1 kJ/mol of atoms
N(E_F) = 2.3 states/eV per cell

a b c (Å): 5.535 5.535 5.535
angles (deg): 90.00 90.00 90.00
Space group Pm-3m (No. 221)
Symmetry-distinct sites (fractional):
Ba: 0.000 0.000 0.000
Mg: 0.500 0.500 0.500
Cu: 0.000 0.000 0.500

=====

No. 5
The following is a PBE calculation of a relaxed structure of SrLi2AgHg, from the Alexandria database.

Values from the calculation:
Total magnetization = 0.0 μB per formula unit
Energy relative to the elements = -11.6 kJ/mol of atoms
N(E_F) = 1.9 states/eV per cell

a b c (Å): 4.990 4.990 5.399
angles (deg): 90.00 90.00 90.00
Space group P4/mmm (No. 123)
Symmetry-distinct sites (fractional):
Sr: 0.000 0.000 0.000
Li: 0.000 0.500 0.500
Ag: 0.500 0.500 0.500
Hg: 0.500 0.500 0.000

=====

No. 6
The following is a PBE calculation of a relaxed structure of SiP, from the Alexandria database.

Values from the calculation:
Total magnetization = 0.0 μB per formula unit
Energy relative to the elements, uncorrected = 582.6 meV/atom
N(E_F) = 2.5 states/eV per cell

a b c (Å): 4.2239 4.2239 10.1163
angles (deg): 90.00 90.00 120.00
Space group P6_3/mmc (No. 194)
Symmetry-distinct sites (fractional):
Si: 0.0000 0.0000 0.2500
Si: 0.3333 0.6667 0.2500
P: 0.3333 0.6667 0.6412

=====

No. 7
The following is a PBE calculation of a relaxed structure of HfInSb, from the Alexandria database.

Values from the calculation:
Total magnetization = 0.0 μB per formula unit
Energy relative to the elements, uncorrected = -234.0 meV/atom
N(E_F) = 4.8 states/eV per cell

a b c (Å): 15.874 4.389 4.566
angles (deg): 90.00 106.67 90.00
Space group C2/m (No. 12)
Symmetry-distinct sites (fractional):
Hf: 0.249 0.000 0.249
In: 0.095 0.500 0.096
Sb: 0.116 0.000 0.617

=====

No. 8
The following is a PBE calculation of a relaxed structure of CePr6DyHo2, from the Alexandria database.

Values from the calculation:
Total magnetization = 1.1 μB per formula unit
Energy relative to the elements = 22.4 kJ/mol of atoms
N(E_F) = 42.4 states/eV per cell

a b c (Å): 11.303 7.136 8.902
angles (deg): 90.00 102.98 90.00
Space group C2/m (No. 12)
Symmetry-distinct sites (fractional):
Ce: 0.000 0.000 0.000
Pr: 0.128 0.000 0.419
Pr: 0.171 0.267 0.797
Dy: 0.000 0.500 0.500
Ho: 0.092 0.500 0.162

=====

No. 9
The following is a PBE calculation of a relaxed structure of La5AsPb3, from the Alexandria database.

Values from the calculation:
Total magnetization = 0.0 μB per formula unit
Energy relative to the elements = -81.8 kJ/mol of atoms
N(E_F) = 8.3 states/eV per cell

a b c (Å): 9.7257 9.7257 7.3078
angles (deg): 90.00 90.00 120.00
Space group P6_3/mcm (No. 193)
Symmetry-distinct sites (fractional):
La: 0.0000 0.2426 0.2500
La: 0.3333 0.6667 0.0000
As: 0.0000 0.0000 0.0000
Pb: 0.0000 0.3998 0.7500

=====

No. 10
The following is a PBE calculation of a relaxed structure of Th2MnSi3Ni12, from the Alexandria database.

Values from the calculation:
Total magnetization = 4.5 μB per formula unit
Energy relative to the elements, uncorrected = -161.7 meV/atom
N(E_F) = 34.8 states/eV per cell

a b c (Å): 8.4949 8.4949 12.0045
angles (deg): 90.00 90.00 120.00
Space group R-3m (No. 166, hexagonal axes)
Symmetry-distinct sites (fractional):
Th: 0.0000 0.0000 0.1574
Mn: 0.0000 0.0000 0.5000
Si: 0.0000 0.5000 0.0000
Ni: 0.0080 0.5040 0.1930
Ni: 0.0145 0.5072 0.3902

=====

No. 11
The following is a PBE calculation of a relaxed structure of Zr2ScPb2, from the Alexandria database.

Values from the calculation:
Total magnetization = 0.0 μB per formula unit
Energy relative to the elements = -20.4 kJ/mol of atoms
N(E_F) = 9.6 states/eV per cell

a b c (Å): 7.806 7.806 4.003
angles (deg): 90.00 90.00 90.00
Space group P4/mbm (No. 127)
Symmetry-distinct sites (fractional):
Zr: 0.158 0.342 0.000
Sc: 0.000 0.000 0.500
Pb: 0.144 0.644 0.500

=====

No. 12
The following is a PBE calculation of a relaxed structure of Ta2SbCl, from the Alexandria database.

Values from the calculation:
Total magnetization = 0.0 μB per formula unit
Energy relative to the elements, uncorrected = 491.3 meV/atom
N(E_F) = 5.8 states/eV per cell

a b c (Å): 6.391 9.189 2.993
angles (deg): 90.00 114.96 90.00
Space group C2/m (No. 12)
Symmetry-distinct sites (fractional):
Ta: 0.250 0.250 0.000
Sb: 0.000 0.000 0.000
Cl: 0.000 0.500 0.000

=====

No. 13
The following is a PBE calculation of a relaxed structure of MgNpTl2Te4, from the Alexandria database.

Values from the calculation:
Total magnetization = 3.0 μB per formula unit
Energy relative to the elements, uncorrected = -553.4 meV/atom
N(E_F) = 8.0 states/eV per cell

a b c (Å): 7.551 4.428 8.531
angles (deg): 90.00 107.69 90.00
Space group P2/m (No. 10)
Symmetry-distinct sites (fractional):
Mg: 0.000 0.000 0.000
Np: 0.500 0.500 0.000
Tl: 0.000 0.500 0.500
Tl: 0.500 0.000 0.500
Te: 0.231 0.500 0.203
Te: 0.263 0.000 0.787

=====

We obtain ρ values of 9.300, 11.864, 8.634, 3.450, 5.064, 2.510, 9.048, 7.016, 7.717, 8.683, 8.738, 10.817, 7.213 g/cm3 for the records listed above, in that order.